[1]
Here is a geometry-optimized Cr2Ni2Ir structure from Alexandria. Energies are from PBE-GGA.

```
Cr2Ni2Ir
1.0
6.626 0.000 0.000
0.000 6.626 0.000
0.000 0.000 2.766
Cr Ni Ir
4 4 2
Cartesian
1.152 2.161 0.000
2.161 5.474 0.000
4.465 1.152 0.000
5.474 4.465 0.000
0.828 4.141 1.383
2.485 0.828 1.383
4.141 5.798 1.383
5.798 2.485 1.383
0.000 0.000 1.383
3.313 3.313 1.383
```

ΔE to the lowest computed polymorph	0.396	eV/f.u.
total magnetic moment	5.6	μB/cell
total energy	-78.39	eV for the cell shown
symmetry	P4/mbm (127)
crystal system	tetragonal
formation energy	0.0951	eV/atom

=====

[2]
Here is a geometry-optimized Mo2AsW structure from Alexandria. Energies are from PBE-GGA.

```
Mo2AsW
1.0
3.188 0.000 0.000
0.000 4.229 0.000
0.000 0.000 4.674
Mo As W
2 1 1
Cartesian
0.000 0.000 0.000
1.594 0.000 2.337
0.000 2.115 2.337
1.594 2.115 0.000
```

total magnetic moment	0.0	μB/cell
total energy	-38.24	eV for the cell shown
symmetry	Pmmm (47)
crystal system	orthorhombic
formation energy	0.2571	eV/atom

=====

Q: The lowest formation energy belongs to which entry?
A: Cr2Ni2Ir